Run w
# Sc2TiIr

A relaxed structure of Sc2TiIr (PBE, Alexandria).

Lattice parameters (Å, degrees): 4.685 4.685 4.685 60.00 60.00 60.00
Sites, in units of the cell vectors:
Sc1 0.250 0.250 0.250
Sc2 0.750 0.750 0.750
Ti1 0.000 0.000 0.000
Ir1 0.500 0.500 0.500

For the magnetic moment, the calculation gives 2.463 Bohr magnetons per cell.

Run x
# Sc2TiIr

A relaxed structure of Sc2TiIr (PBE, Alexandria).

Lattice parameters (Å, degrees): 6.103 6.103 6.103 102.11 102.11 125.47
Sites, in units of the cell vectors:
Sc1 0.075 0.625 0.950
Sc2 0.375 0.325 0.450
Sc3 0.675 0.125 0.050
Sc4 0.875 0.925 0.550
Ti1 0.250 0.750 0.500
Ti2 0.500 0.500 0.000
Ir1 0.000 0.000 0.000
Ir2 0.750 0.250 0.500

For the magnetic moment, the calculation gives 2.103 Bohr magnetons per cell.

Q: What are the energies relative to the best structure? A: run w 0; run x 294, in meV/atom.

Run w
# Sc2TiIr

A relaxed structure of Sc2TiIr (PBE, Alexandria).

Lattice parameters (Å, degrees): 3.202 3.202 7.314 90.00 90.00 90.00
Sites, in units of the cell vectors:
Sc1 0.000 0.000 0.222
Sc2 0.000 0.000 0.778
Ti1 0.500 0.500 0.500
Ir1 0.500 0.500 0.000

For the magnetic moment, the calculation gives 0.000 Bohr magnetons per cell.

Run x
# Sc2TiIr

A relaxed structure of Sc2TiIr (PBE, Alexandria).

Lattice parameters (Å, degrees): 10.056 10.056 10.056 17.27 17.27 17.27
Sites, in units of the cell vectors:
Sc1 0.096 0.096 0.096
Sc2 0.904 0.904 0.904
Ti1 0.000 0.000 0.000
Ir1 0.500 0.500 0.500

For the magnetic moment, the calculation gives 0.250 Bohr magnetons per cell.

Q: What are the energies relative to the best structure? A: run w 0; run x 412, in meV/atom.